Material: BeAl2Ag
Method: DFT, PBE
State: relaxed

```
data_BeAl2Ag
_cell_length_a 4.612
_cell_length_b 4.612
_cell_length_c 3.036
_cell_angle_alpha 90.00
_cell_angle_beta 90.00
_cell_angle_gamma 110.61
_space_group_name_H-M_alt 'P 1'
_space_group_IT_number 1
_space_group_name_Hall 'P 1'
loop_
_atom_site_label
_atom_site_type_symbol
_atom_site_fract_x
_atom_site_fract_y
_atom_site_fract_z
_atom_site_occupancy
Be1 Be 0.000 0.000 0.000 1
Al1 Al 0.000 0.500 0.500 1
Al2 Al 0.500 0.000 0.500 1
Ag1 Ag 0.500 0.500 0.000 1
```

For the calculated formation energy, the calculation gives 0.18 eV/atom. Its calculated total energy is -3.33 eV per atom. For the density of states at the Fermi level, the calculation gives 0.93 states/eV/cell. The volume comes out at 60.5 Å³/cell. Its total moment is 0.00 Bohr magnetons per cell.

---

Material: Be3AlAg
Method: DFT, PBE
State: relaxed

```
data_Be3AlAg
_cell_length_a 4.312
_cell_length_b 4.312
_cell_length_c 4.312
_cell_angle_alpha 90.00
_cell_angle_beta 90.00
_cell_angle_gamma 90.00
_space_group_name_H-M_alt 'P 1'
_space_group_IT_number 1
_space_group_name_Hall 'P 1'
loop_
_atom_site_label
_atom_site_type_symbol
_atom_site_fract_x
_atom_site_fract_y
_atom_site_fract_z
_atom_site_occupancy
Be1 Be 0.000 0.000 0.500 1
Be2 Be 0.000 0.500 0.000 1
Be3 Be 0.500 0.000 0.000 1
Al1 Al 0.500 0.500 0.500 1
Ag1 Ag 0.000 0.000 0.000 1
```

For the calculated formation energy, the calculation gives 0.90 eV/atom. Its calculated total energy is -2.66 eV per atom. As for the offset from the most stable computed form: 0.00 eV/f.u. For the density of states at the Fermi level, the calculation gives 1.52 states/eV/cell. The volume comes out at 80.2 Å³/cell. Its total moment is 0.00 Bohr magnetons per cell.

---

Material: BeAl2Ag
Method: DFT, PBE
State: relaxed

```
data_BeAl2Ag
_cell_length_a 4.389
_cell_length_b 4.389
_cell_length_c 3.166
_cell_angle_alpha 90.00
_cell_angle_beta 90.00
_cell_angle_gamma 90.00
_space_group_name_H-M_alt 'P 1'
_space_group_IT_number 1
_space_group_name_Hall 'P 1'
loop_
_atom_site_label
_atom_site_type_symbol
_atom_site_fract_x
_atom_site_fract_y
_atom_site_fract_z
_atom_site_occupancy
Be1 Be 0.000 0.000 0.000 1
Al1 Al 0.000 0.500 0.500 1
Al2 Al 0.500 0.000 0.500 1
Ag1 Ag 0.500 0.500 0.000 1
```

For the calculated formation energy, the calculation gives 0.28 eV/atom. Its calculated total energy is -3.23 eV per atom. For the density of states at the Fermi level, the calculation gives 1.88 states/eV/cell. The volume comes out at 61.0 Å³/cell. Its total moment is 0.00 Bohr magnetons per cell.

---

Material: BeAl2Ag
Method: DFT, PBE
State: relaxed

```
data_BeAl2Ag
_cell_length_a 6.193
_cell_length_b 6.193
_cell_length_c 6.193
_cell_angle_alpha 154.46
_cell_angle_beta 142.26
_cell_angle_gamma 46.13
_space_group_name_H-M_alt 'P 1'
_space_group_IT_number 1
_space_group_name_Hall 'P 1'
loop_
_atom_site_label
_atom_site_type_symbol
_atom_site_fract_x
_atom_site_fract_y
_atom_site_fract_z
_atom_site_occupancy
Be1 Be 0.000 0.000 0.000 1
Al1 Al 0.514 0.514 0.000 1
Al2 Al 0.814 0.314 0.500 1
Ag1 Ag 0.193 0.693 0.500 1
```

For the calculated formation energy, the calculation gives 0.14 eV/atom. Its calculated total energy is -3.38 eV per atom. For the density of states at the Fermi level, the calculation gives 0.98 states/eV/cell. The volume comes out at 62.5 Å³/cell. Its total moment is 0.00 Bohr magnetons per cell.

---

Material: BeAl2Ag
Method: DFT, PBE
State: relaxed

```
data_BeAl2Ag
_cell_length_a 4.532
_cell_length_b 4.532
_cell_length_c 4.646
_cell_angle_alpha 98.05
_cell_angle_beta 98.05
_cell_angle_gamma 39.79
_space_group_name_H-M_alt 'P 1'
_space_group_IT_number 1
_space_group_name_Hall 'P 1'
loop_
_atom_site_label
_atom_site_type_symbol
_atom_site_fract_x
_atom_site_fract_y
_atom_site_fract_z
_atom_site_occupancy
Be1 Be 0.000 0.000 0.000 1
Al1 Al 0.253 0.253 0.766 1
Al2 Al 0.747 0.747 0.234 1
Ag1 Ag 0.500 0.500 0.500 1
```

For the calculated formation energy, the calculation gives 0.14 eV/atom. Its calculated total energy is -3.37 eV per atom. For the density of states at the Fermi level, the calculation gives 0.84 states/eV/cell. The volume comes out at 60.4 Å³/cell. Its total moment is 0.00 Bohr magnetons per cell.

---

Material: BeAl2Ag
Method: DFT, PBE
State: relaxed

```
data_BeAl2Ag
_cell_length_a 4.566
_cell_length_b 4.566
_cell_length_c 4.601
_cell_angle_alpha 98.17
_cell_angle_beta 98.17
_cell_angle_gamma 39.65
_space_group_name_H-M_alt 'P 1'
_space_group_IT_number 1
_space_group_name_Hall 'P 1'
loop_
_atom_site_label
_atom_site_type_symbol
_atom_site_fract_x
_atom_site_fract_y
_atom_site_fract_z
_atom_site_occupancy
Be1 Be 0.000 0.000 0.000 1
Al1 Al 0.496 0.496 0.477 1
Al2 Al 0.743 0.743 0.208 1
Ag1 Ag 0.248 0.248 0.738 1
```

For the calculated formation energy, the calculation gives 0.15 eV/atom. Its calculated total energy is -3.36 eV per atom. For the density of states at the Fermi level, the calculation gives 0.56 states/eV/cell. The volume comes out at 60.5 Å³/cell. Its total moment is 0.00 Bohr magnetons per cell.

---

Q: The highest density of states at the Fermi level belongs to which entry?
A: number 3